Ac2FeSnO6, relaxed, DFT PBE+U; raw total energy = -7.28 eV/atom; N(E_F) = 0.0 states/eV/f.u.; space-group type = P2_1/c, No. 14
1.0
5.8547 0.0000 0.0034
0.0000 5.9871 0.0000
0.0571 0.0000 8.1691
O Sn Fe Ac
12 2 2 4
direct
0.2860 0.6990 0.0455
0.6980 0.2870 0.5442
0.3020 0.7130 0.4558
0.7860 0.8010 0.5455
0.9144 0.5232 0.2503
0.7140 0.3010 0.9545
0.5856 0.0232 0.2497
0.8020 0.7870 0.9558
0.2140 0.1990 0.4545
0.1980 0.2130 0.0442
0.4144 0.9768 0.7503
0.0856 0.4768 0.7497
0.5000 0.0000 0.5000
0.0000 0.5000 0.0000
0.5000 0.0000 0.0000
0.0000 0.5000 0.5000
0.4891 0.4522 0.2496
0.0109 0.9522 0.2504
0.9891 0.0478 0.7496
0.5109 0.5478 0.7504